1.
VASP calculation (PBE) on crystalline Rb3Tl3CuI8 at its relaxed geometry.

The structure in POSCAR format:
```
Rb3Tl3CuI8
1.0
-9.336 -2.573 3.391
5.715 -6.897 -5.023
2.534 3.054 9.295
Rb I Tl Cu
3 8 3 1
Cartesian
4.125 -1.921 2.136
-0.543 -3.208 3.832
-3.401 0.241 6.343
-2.209 -3.108 7.082
-0.985 -8.015 0.308
4.489 -6.506 -1.680
-5.576 0.090 9.343
2.149 -0.938 5.204
-0.101 1.599 7.355
-3.235 -5.478 2.459
1.123 -3.308 0.581
0.000 0.000 0.000
2.857 -3.448 -2.511
-1.810 -4.735 -0.816
1.267 1.527 4.648
```

Properties
Crystal system   monoclinic
Formation energy without anion corrections   -0.823 eV per atom
Uncorrected energy   -2.59 eV/atom


2.
VASP calculation (PBE) on crystalline BaCaY at its relaxed geometry.

The structure in POSCAR format:
```
BaCaY
1.0
3.893 0.000 0.000
-1.947 3.375 0.000
0.000 0.000 19.387
Ca Y Ba
2 2 2
Cartesian
1.947 0.737 0.000
0.000 1.903 9.693
0.000 1.867 2.974
0.000 1.867 16.412
1.947 0.750 13.184
1.947 0.750 6.202
```

Properties
Energy of formation   0.180 eV per atom
Crystal system   orthorhombic
Uncorrected energy   -3.28 eV/atom


3.
VASP calculation (PBE) on crystalline NbHRh3 at its relaxed geometry.

The structure in POSCAR format:
```
NbHRh3
1.0
-0.441 -1.413 6.506
-3.918 -3.854 -1.103
2.120 -3.086 3.253
Nb Rh H
2 6 2
Cartesian
0.262 -2.362 3.228
-2.312 -4.420 5.322
-0.331 -2.515 5.873
-1.656 -6.778 3.958
0.344 -4.811 4.520
-1.696 -4.282 2.650
-2.169 -6.959 6.716
-0.252 -5.073 7.256
-0.814 -5.984 5.465
-0.143 -3.212 7.639
```

Properties
Crystal system   monoclinic
Uncorrected energy   -7.48 eV/atom


4.
VASP calculation (PBE) on crystalline Th6GeTe3Se2 at its relaxed geometry.

The structure in POSCAR format:
```
Th6GeTe3Se2
1.0
-4.868 3.314 -4.466
-2.122 -2.299 6.696
4.183 6.247 2.112
Th Te Se Ge
6 3 2 1
Cartesian
1.449 5.137 2.227
-0.295 0.696 2.860
-1.208 2.562 -0.852
-1.600 4.700 5.194
-2.513 6.566 1.483
-4.256 2.125 2.116
-1.404 3.631 2.171
-2.323 5.510 -1.566
-0.484 1.752 5.909
-3.955 1.447 -0.752
-3.036 -0.432 2.982
0.000 0.000 0.000
```

Properties
Crystal system   monoclinic
Formation energy without anion corrections   -1.201 eV per atom
Uncorrected energy   -6.66 eV/atom


5.
VASP calculation (PBE) on crystalline AcTb2Sm at its relaxed geometry.

The structure in POSCAR format:
```
AcTb2Sm
1.0
-0.487 -0.611 -3.533
-6.182 -5.973 1.884
-1.065 11.624 -1.862
Ac Tb Sm
2 4 2
Cartesian
-4.261 5.221 -2.168
-3.473 -0.181 -1.343
-5.219 -3.450 -0.538
-2.514 8.490 -2.974
-5.427 2.621 0.295
-1.820 3.030 -0.273
0.000 0.000 0.000
-0.776 5.507 -2.698
```

Properties
Energy of formation   0.153 eV per atom
Crystal system   monoclinic
Uncorrected energy   -4.37 eV/atom


6.
VASP calculation (PBE) on crystalline SrFe2Ru at its relaxed geometry.

The structure in POSCAR format:
```
SrFe2Ru
1.0
2.717 -3.333 1.199
0.891 -0.711 4.317
-1.656 -3.600 2.057
Fe Sr Ru
2 1 1
Cartesian
0.488 -1.911 1.893
1.464 -5.733 5.680
0.000 0.000 0.000
0.976 -3.822 3.786
```

Properties
Energy of formation   1.133 eV per atom
Crystal system   cubic
Uncorrected energy   -5.84 eV/atom


7.
VASP calculation (PBE) on crystalline TbSm3Cd2 at its relaxed geometry.

The structure in POSCAR format:
```
TbSm3Cd2
1.0
-0.089 -3.146 1.991
-1.849 -1.691 -2.755
11.102 -3.622 -5.227
Sm Cd Tb
3 2 1
Cartesian
0.000 0.000 0.000
3.424 -1.117 -1.612
7.678 -2.505 -3.615
8.418 -5.481 -4.801
0.746 -2.978 -1.190
4.582 -4.229 -2.996
```

Properties
Energy of formation   -0.195 eV per atom
Crystal system   tetragonal
Uncorrected energy   -3.63 eV/atom


8.
VASP calculation (PBE) on crystalline Er2ThNi9 at its relaxed geometry.

The structure in POSCAR format:
```
Er2ThNi9
1.0
-1.032 1.603 -4.594
-4.615 -0.426 -1.805
-3.724 7.736 0.843
Ni Er Th
9 2 1
Cartesian
-4.686 4.457 -2.778
-1.883 0.396 -2.132
-5.599 2.216 -3.355
-7.488 8.518 -3.424
-6.089 6.483 -3.107
-3.282 2.430 -2.448
-5.572 5.678 -0.801
-3.772 6.697 -2.201
-3.800 3.235 -4.755
-6.423 4.271 -5.145
-2.948 4.642 -0.411
0.000 0.000 0.000
```

Properties
Energy of formation   -0.462 eV per atom
Crystal system   trigonal
Uncorrected energy   -6.18 eV/atom


9.
VASP calculation (PBE) on crystalline Fe6Pd8Pt at its relaxed geometry.

The structure in POSCAR format:
```
Fe6Pd8Pt
1.0
2.741 0.000 0.000
0.000 9.685 0.000
0.000 -4.842 8.387
Fe Pt Pd
6 1 8
Cartesian
2.034 -0.637 7.632
2.034 -1.448 4.020
0.708 6.291 4.367
2.034 2.085 5.123
0.708 2.758 3.265
0.708 5.479 0.756
1.371 0.000 0.000
0.615 2.548 0.708
0.615 4.181 5.827
2.078 4.842 2.796
0.615 7.798 1.853
2.127 2.295 7.680
2.127 0.661 2.561
0.663 0.000 5.592
2.127 -2.955 6.535
```

Properties
Energy of formation   0.102 eV per atom
Crystal system   trigonal
Uncorrected energy   -6.46 eV/atom


10.
VASP calculation (PBE) on crystalline ErH6Rh5 at its relaxed geometry.

The structure in POSCAR format:
```
ErH6Rh5
1.0
4.440 0.848 2.432
1.500 5.836 2.595
-0.001 1.537 4.891
H Rh Er
6 5 1
Cartesian
4.306 5.588 6.354
4.566 2.560 4.075
1.633 2.633 3.564
2.668 3.084 5.899
3.272 5.138 4.019
1.374 5.662 5.844
4.459 4.139 4.958
2.997 6.634 5.066
1.480 4.083 4.960
2.970 3.342 2.514
2.943 1.588 4.853
0.000 0.000 0.000
```

Properties
Crystal system   triclinic
Uncorrected energy   -5.36 eV/atom


11.
VASP calculation (PBE) on crystalline Nd6Ti4Al43 at its relaxed geometry.

The structure in POSCAR format:
```
Nd6Ti4Al43
1.0
11.166 0.000 0.000
-5.583 9.670 0.000
0.000 0.000 18.023
Al Nd Ti
86 12 8
Cartesian
0.000 6.447 15.743
0.000 4.777 0.000
1.733 0.000 15.923
2.794 0.000 8.487
5.583 4.893 0.000
0.000 6.447 11.292
4.770 8.261 4.506
0.000 6.447 6.731
-0.416 3.793 2.976
-2.091 8.134 2.976
8.372 0.000 17.499
0.000 6.447 2.281
0.416 3.793 15.047
9.433 0.000 2.100
7.674 1.537 15.047
5.827 1.445 4.506
3.077 2.256 11.988
5.999 5.877 11.988
0.000 4.777 9.012
8.089 2.256 2.976
5.583 3.223 15.743
7.245 3.901 13.517
7.029 2.389 9.012
-0.867 1.501 15.923
4.717 8.169 11.112
1.662 5.769 13.517
8.089 2.256 6.035
4.137 2.389 0.000
3.077 2.256 15.047
0.416 3.793 11.988
7.029 2.389 0.000
9.539 0.000 13.517
5.339 1.445 13.517
-4.770 8.261 13.517
3.921 3.901 4.506
2.090 8.134 11.988
0.867 1.501 2.100
-4.717 8.169 6.912
5.583 4.893 9.012
1.446 7.282 9.012
-4.186 7.251 17.499
5.168 5.877 6.035
-4.717 8.169 2.100
1.446 7.282 0.000
4.717 8.169 15.923
1.627 0.000 4.506
0.814 1.409 13.517
-1.397 2.420 0.525
4.137 2.389 9.012
-0.867 1.501 11.112
5.583 3.223 11.292
-1.418 5.347 13.517
-2.506 7.414 11.988
2.090 8.134 15.047
7.674 1.537 11.988
-0.814 1.409 4.506
-1.446 7.282 0.000
3.493 1.537 2.976
-0.244 8.225 13.517
1.418 5.347 4.506
1.397 2.420 9.536
-1.446 7.282 9.012
-4.186 7.251 9.536
5.583 3.223 6.731
-2.506 7.414 15.047
-1.397 2.420 8.487
-0.416 3.793 6.035
5.999 5.877 15.047
4.165 4.324 13.517
8.372 0.000 9.536
4.186 7.251 8.487
7.001 4.324 4.506
5.583 3.223 2.281
5.168 5.877 2.976
1.397 2.420 17.499
2.506 7.414 2.976
0.244 8.225 4.506
2.506 7.414 6.035
3.493 1.537 6.035
2.794 0.000 0.525
4.186 7.251 0.525
1.733 0.000 11.112
0.867 1.501 6.912
-1.662 5.769 4.506
-2.091 8.134 6.035
9.433 0.000 6.912
-2.634 4.563 10.743
2.634 4.563 1.731
5.269 0.000 10.743
2.634 4.563 7.280
-2.949 5.107 7.280
2.949 5.107 10.743
5.898 0.000 1.731
2.949 5.107 16.292
-2.634 4.563 16.292
5.269 0.000 16.292
5.898 0.000 7.280
-2.949 5.107 1.731
8.139 0.000 4.506
0.000 0.000 9.012
1.513 2.621 4.506
-1.513 2.621 13.517
-4.070 7.049 4.506
0.000 0.000 0.000
4.070 7.049 13.517
3.027 0.000 13.517
```

Properties
Energy of formation   -0.337 eV per atom
Crystal system   hexagonal
Uncorrected energy   -4.51 eV/atom


12.
VASP calculation (PBE) on crystalline Ce4Se5N at its relaxed geometry.

The structure in POSCAR format:
```
Ce4Se5N
1.0
-3.311 2.344 0.357
-0.750 -2.206 7.528
6.844 6.121 0.047
Ce Se N
4 5 1
Cartesian
-0.063 3.296 1.005
2.845 2.963 6.927
-0.565 -1.685 5.824
3.348 7.945 2.108
1.660 5.650 1.522
-2.031 0.069 3.942
1.123 0.610 6.409
1.360 4.660 5.236
1.423 1.599 2.696
-1.656 1.172 0.179
```

Properties
Crystal system   monoclinic
Formation energy without anion corrections   -1.502 eV per atom
Uncorrected energy   -6.45 eV/atom


13.
VASP calculation (PBE) on crystalline AsPtBr at its relaxed geometry.

The structure in POSCAR format:
```
AsPtBr
1.0
4.528 0.000 0.000
2.264 3.921 0.000
2.264 1.307 3.697
As Pt Br
1 1 1
Cartesian
0.000 0.000 0.000
6.792 3.921 2.773
4.528 2.614 1.849
```

Properties
Crystal system   cubic
Formation energy without anion corrections   0.285 eV per atom
Uncorrected energy   -3.84 eV/atom


14.
VASP calculation (PBE) on crystalline Er8In2Pb at its relaxed geometry.

The structure in POSCAR format:
```
Er8In2Pb
1.0
-2.006 -2.269 -3.819
6.919 -3.858 -1.342
-3.971 -3.288 7.150
Er In Pb
8 2 1
Cartesian
4.470 -3.266 -0.407
0.967 -7.371 0.762
3.675 -6.353 -1.265
-0.259 -5.680 3.512
1.201 -3.735 -1.522
-0.025 -2.044 1.228
-2.733 -3.062 3.255
-3.528 -6.149 2.397
2.222 -4.480 1.495
-1.280 -4.935 0.494
-1.003 -1.135 -1.909
```

Properties
Energy of formation   -0.252 eV per atom
Crystal system   monoclinic
Uncorrected energy   -4.40 eV/atom


15.
VASP calculation (PBE) on crystalline SiTe4W at its relaxed geometry.

The structure in POSCAR format:
```
SiTe4W
1.0
4.745 -1.508 3.644
0.532 2.558 5.589
-0.953 -3.406 5.055
Te W Si
4 1 1
Cartesian
1.624 -0.885 5.368
3.984 -1.635 7.180
1.889 0.387 8.147
1.150 -2.579 7.881
3.243 -1.767 10.716
0.000 0.000 0.000
```

Properties
Crystal system   cubic
Formation energy without anion corrections   1.537 eV per atom
Uncorrected energy   -3.62 eV/atom


16.
VASP calculation (PBE) on crystalline La10Ga3Te3 at its relaxed geometry.

The structure in POSCAR format:
```
La10Ga3Te3
1.0
6.651 0.000 0.000
0.000 8.143 -4.701
0.000 0.000 9.402
La Te Ga
10 3 3
Cartesian
1.641 5.428 0.000
3.326 6.088 -3.515
5.010 5.428 0.000
1.641 2.714 4.701
3.326 2.054 1.186
5.010 2.714 4.701
0.000 0.000 2.371
3.326 0.000 7.030
0.000 2.054 -1.186
0.000 6.089 3.516
0.000 0.000 5.784
0.000 3.134 1.809
0.000 5.009 -2.892
3.326 5.002 2.888
3.326 3.140 -1.813
3.326 0.000 3.626
```

Properties
Crystal system   hexagonal
Formation energy without anion corrections   -0.784 eV per atom
Uncorrected energy   -5.02 eV/atom


17.
VASP calculation (PBE) on crystalline Mg3Zn3IrRh2 at its relaxed geometry.

The structure in POSCAR format:
```
Mg3Zn3IrRh2
1.0
-2.265 -1.611 -1.047
4.515 -5.783 -0.866
-3.617 0.941 6.373
Mg Zn Ir Rh
3 3 1 2
Cartesian
2.063 -4.899 -1.136
-0.870 -2.221 1.086
-3.692 -0.140 3.987
0.559 -3.011 3.425
-1.368 0.356 2.410
1.707 -2.187 -0.327
0.000 0.000 0.000
0.672 -4.348 1.024
-2.039 -2.106 3.437
```

Properties
Energy of formation   -0.311 eV per atom
Crystal system   hexagonal
Uncorrected energy   -3.89 eV/atom


18.
VASP calculation (PBE) on crystalline Na2Al2Ni at its relaxed geometry.

The structure in POSCAR format:
```
Na2Al2Ni
1.0
-3.748 -2.055 2.785
0.448 -4.358 -2.613
3.143 -1.535 3.098
Na Al Ni
2 2 1
Cartesian
0.000 0.000 0.000
1.572 -0.767 1.549
0.224 -2.179 -1.307
-1.874 -1.027 1.392
-0.079 -3.974 1.634
```

Properties
Energy of formation   1.233 eV per atom
Crystal system   tetragonal
Uncorrected energy   -1.95 eV/atom